(1)
A relaxed Ho3TlGe crystal, computed with GGA-PBE.

Calculated values
final energy: -21.19 eV/f.u.
size of the total moment: 0.5 μB/f.u.
ρ: 8.77 Mg/m³

a b c (Å): 8.1681 8.1681 5.0589
angles (deg): 90.00 90.00 120.00
Last column: nearest neighbours and their distance in Å.
Fractional coordinates of all 10 atoms:
1 Ho 0.8054 0.1946 0.7500  1 Ge 2.75
2 Ho 0.1946 0.8054 0.2500  1 Ge 2.75
3 Ge 0.0000 0.0000 0.2500  2 Ge 2.53, 3 Ho 2.75
4 Tl 0.6667 0.3333 0.2500  6 Ho 3.20
5 Ho 0.8054 0.6108 0.7500  1 Ge 2.75
6 Ho 0.1946 0.3892 0.2500  1 Ge 2.75
7 Ho 0.3892 0.1946 0.7500  1 Ge 2.75
8 Ho 0.6108 0.8054 0.2500  1 Ge 2.75
9 Ge 0.0000 0.0000 0.7500  2 Ge 2.53, 3 Ho 2.75
10 Tl 0.3333 0.6667 0.7500  6 Ho 3.20



(2)
A relaxed Ho3Tl4Ge4 crystal, computed with GGA-PBE.

Calculated values
final energy: -44.21 eV/f.u.
size of the total moment: 0.0 μB/f.u.
ρ: 9.29 Mg/m³

a b c (Å): 10.5326 10.5326 10.5326
angles (deg): 155.41 143.76 44.28
Last column: nearest neighbours and their distance in Å.
Fractional coordinates of all 11 atoms:
1 Ge 0.1499 0.1499 0.0000  4 Tl 2.87, 1 Ho 2.92
2 Ho 0.5882 0.0882 0.5000  4 Ge 3.10, 4 Tl 3.31, 1 Ho 3.44
3 Tl 0.0742 0.3178 0.7565  2 Ge 2.87, 1 Tl 3.19
4 Ge 0.3053 0.5000 0.8053  1 Ge 2.55
5 Tl 0.9258 0.6822 0.2435  2 Ge 2.87, 1 Tl 3.19
6 Tl 0.4387 0.6822 0.7565  2 Ge 2.87, 1 Tl 3.19
7 Ge 0.6947 0.5000 0.1947  1 Ge 2.55
8 Ge 0.8501 0.8501 0.0000  4 Tl 2.87, 1 Ho 2.92
9 Ho 0.0000 0.0000 0.0000  6 Ge 2.92-3.00
10 Tl 0.5613 0.3178 0.2435  2 Ge 2.87, 1 Tl 3.19
11 Ho 0.4118 0.9118 0.5000  4 Ge 3.10, 4 Tl 3.31, 1 Ho 3.44



(3)
A relaxed HoTlGe crystal, computed with GGA-PBE.

Calculated values
final energy: -11.31 eV/f.u.
size of the total moment: 0.0 μB/f.u.
ρ: 8.67 Mg/m³

a b c (Å): 4.9285 4.9285 4.9285
angles (deg): 60.00 60.00 60.00
Last column: nearest neighbours and their distance in Å.
Fractional coordinates of all 3 atoms:
1 Tl 0.0000 0.0000 0.0000  4 Ho 3.02, 4 Ge 3.02
2 Ho 0.7500 0.7500 0.7500  4 Tl 3.02
3 Ge 0.2500 0.2500 0.2500  4 Tl 3.02



(4)
A relaxed HoTmZn2Ge2 crystal, computed with GGA-PBE.

Calculated values
final energy: -24.69 eV/f.u.
size of the total moment: 0.0 μB/f.u.
ρ: 8.54 Mg/m³

a b c (Å): 4.2209 4.2209 15.3765
angles (deg): 90.00 90.00 120.00
Last column: nearest neighbours and their distance in Å.
Fractional coordinates of all 12 atoms:
1 Tm 0.0000 0.0000 0.7500  6 Zn 2.89, 6 Ge 3.22
2 Ge 0.6667 0.3333 0.1130  3 Zn 2.50
3 Ho 0.0000 0.0000 0.5000  6 Ge 2.99, 6 Zn 3.35
4 Ho 0.0000 0.0000 0.0000  6 Ge 2.99, 6 Zn 3.35
5 Ge 0.3333 0.6667 0.8870  3 Zn 2.50
6 Zn 0.6667 0.3333 0.8509  3 Ge 2.50
7 Zn 0.3333 0.6667 0.1491  3 Ge 2.50
8 Zn 0.3333 0.6667 0.3509  3 Ge 2.50
9 Ge 0.3333 0.6667 0.6130  3 Zn 2.50
10 Ge 0.6667 0.3333 0.3870  3 Zn 2.50
11 Tm 0.0000 0.0000 0.2500  6 Zn 2.89, 6 Ge 3.22
12 Zn 0.6667 0.3333 0.6491  3 Ge 2.50



(5)
A relaxed HoTmZr2Ge2 crystal, computed with GGA-PBE.

Calculated values
final energy: -39.63 eV/f.u.
size of the total moment: 0.0 μB/f.u.
ρ: 8.02 Mg/m³

a b c (Å): 4.1766 4.1766 7.8521
angles (deg): 90.00 90.00 90.00
Last column: nearest neighbours and their distance in Å.
Fractional coordinates of all 6 atoms:
1 Tm 0.5000 0.5000 0.6533  5 Ge 3.02-3.04
2 Ge 0.5000 0.5000 0.2663  4 Zr 2.96, 4 Ho 3.02, 1 Tm 3.04
3 Zr 0.0000 0.5000 0.9992  4 Zr 2.95, 4 Ge 2.96
4 Ho 0.0000 0.0000 0.3492  5 Ge 3.01-3.02
5 Zr 0.5000 0.0000 0.9992  4 Zr 2.95, 4 Ge 2.96
6 Ge 0.0000 0.0000 0.7327  4 Zr 2.96, 1 Ho 3.01, 4 Tm 3.02



(6)
A relaxed HoUGe crystal, computed with GGA-PBE.

Calculated values
final energy: -20.08 eV/f.u.
size of the total moment: 3.6 μB/f.u.
ρ: 9.66 Mg/m³

a b c (Å): 4.8718 4.8718 4.8718
angles (deg): 60.00 60.00 60.00
Last column: nearest neighbours and their distance in Å.
Fractional coordinates of all 3 atoms:
1 Ge 0.0000 0.0000 0.0000  4 Ho 2.98, 4 U 2.98
2 U 0.7500 0.7500 0.7500  4 Ge 2.98
3 Ho 0.2500 0.2500 0.2500  4 Ge 2.98